1:
A relaxed BaSr3Hg crystal, computed with PBE.

a b c (Å): 6.413 6.413 6.413
angles (deg): 90.00 90.00 90.00
Element x y z (fractional)
Ba (0.000, 0.000, 0.000)
Sr (0.000, 0.500, 0.500)
Sr (0.500, 0.000, 0.500)
Sr (0.500, 0.500, 0.000)
Hg (0.500, 0.500, 0.500)

---

2:
A relaxed BaSr3Hg crystal, computed with PBE.

a b c (Å): 7.762 7.762 15.795
angles (deg): 108.59 108.59 32.58
Element x y z (fractional)
Ba (0.000, 0.000, 0.000)
Ba (0.137, 0.137, 0.283)
Sr (0.032, 0.032, 0.686)
Sr (0.335, 0.335, 0.761)
Sr (0.360, 0.360, 0.163)
Sr (0.680, 0.680, 0.533)
Sr (0.701, 0.701, 0.921)
Sr (0.907, 0.907, 0.411)
Hg (0.364, 0.364, 0.556)
Hg (0.679, 0.679, 0.128)

---

3:
A relaxed BaSr3Hg crystal, computed with PBE.

a b c (Å): 8.479 8.479 9.319
angles (deg): 119.43 119.43 71.21
Element x y z (fractional)
Ba (0.030, 0.030, 0.272)
Ba (0.970, 0.970, 0.728)
Sr (0.093, 0.509, 0.259)
Sr (0.420, 0.420, 0.738)
Sr (0.491, 0.907, 0.741)
Sr (0.509, 0.093, 0.259)
Sr (0.580, 0.580, 0.262)
Sr (0.907, 0.491, 0.741)
Hg (0.282, 0.282, 0.950)
Hg (0.718, 0.718, 0.050)

---

The most stable arrangement is 2, and the next structure is 3.5 kJ/mol of atoms less stable.

---

1:
A relaxed Ba6Sr2Hg crystal, computed with PBE.

a b c (Å): 9.111 9.111 9.111
angles (deg): 134.51 101.02 96.19
Element x y z (fractional)
Ba (0.149, 0.341, 0.809)
Ba (0.167, 0.000, 0.167)
Ba (0.468, 0.659, 0.809)
Ba (0.532, 0.341, 0.191)
Ba (0.833, 0.000, 0.833)
Ba (0.851, 0.659, 0.191)
Sr (0.317, 0.817, 0.500)
Sr (0.683, 0.183, 0.500)
Hg (0.000, 0.500, 0.500)

---

2:
A relaxed Ba6Sr2Hg crystal, computed with PBE.

a b c (Å): 4.505 11.336 11.336
angles (deg): 119.29 90.00 90.00
Element x y z (fractional)
Ba (0.000, 0.000, 0.000)
Ba (0.000, 0.499, 0.731)
Ba (0.000, 0.731, 0.499)
Ba (0.500, 0.106, 0.747)
Ba (0.500, 0.352, 0.352)
Ba (0.500, 0.747, 0.106)
Sr (0.000, 0.070, 0.415)
Sr (0.000, 0.415, 0.070)
Hg (0.500, 0.758, 0.758)

---

The most stable arrangement is 2, and the next structure is 10.7 kJ/mol of atoms less stable.

---

1:
A relaxed Ba3SrHg crystal, computed with PBE.

a b c (Å): 6.699 6.699 6.699
angles (deg): 90.00 90.00 90.00
Element x y z (fractional)
Ba (0.000, 0.000, 0.500)
Ba (0.000, 0.500, 0.000)
Ba (0.500, 0.000, 0.000)
Sr (0.500, 0.500, 0.500)
Hg (0.000, 0.000, 0.000)

---

2:
A relaxed Ba3SrHg crystal, computed with PBE.

a b c (Å): 7.974 7.974 16.038
angles (deg): 108.79 108.79 32.73
Element x y z (fractional)
Ba (0.000, 0.000, 0.000)
Ba (0.020, 0.020, 0.391)
Ba (0.331, 0.331, 0.752)
Ba (0.356, 0.356, 0.158)
Ba (0.554, 0.554, 0.638)
Ba (0.695, 0.695, 0.918)
Sr (0.666, 0.666, 0.238)
Sr (0.792, 0.792, 0.506)
Hg (0.022, 0.022, 0.790)
Hg (0.328, 0.328, 0.365)

---

3:
A relaxed Ba3SrHg crystal, computed with PBE.

a b c (Å): 8.941 8.941 9.773
angles (deg): 123.06 123.06 73.59
Element x y z (fractional)
Ba (0.051, 0.051, 0.339)
Ba (0.055, 0.451, 0.213)
Ba (0.451, 0.055, 0.213)
Ba (0.549, 0.945, 0.787)
Ba (0.945, 0.549, 0.787)
Ba (0.949, 0.949, 0.661)
Sr (0.449, 0.449, 0.748)
Sr (0.551, 0.551, 0.252)
Hg (0.255, 0.255, 0.869)
Hg (0.745, 0.745, 0.131)

---

4:
A relaxed Ba3SrHg crystal, computed with PBE.

a b c (Å): 6.964 6.964 6.964
angles (deg): 90.00 90.00 90.00
Element x y z (fractional)
Ba (0.000, 0.000, 0.500)
Ba (0.000, 0.500, 0.000)
Ba (0.500, 0.000, 0.000)
Sr (0.000, 0.000, 0.000)
Hg (0.500, 0.500, 0.500)

---

The most stable arrangement is 2, and the next structure is 5.1 kJ/mol of atoms less stable.

---

1:
A relaxed BaTaHg3 crystal, computed with PBE.

a b c (Å): 6.212 6.212 6.212
angles (deg): 90.00 90.00 90.00
Element x y z (fractional)
Ba (0.000, 0.000, 0.000)
Ta (0.500, 0.500, 0.500)
Hg (0.000, 0.000, 0.500)
Hg (0.000, 0.500, 0.000)
Hg (0.500, 0.000, 0.000)

---

2:
A relaxed BaTaHg3 crystal, computed with PBE.

a b c (Å): 5.441 5.441 5.441
angles (deg): 90.00 90.00 90.00
Element x y z (fractional)
Ba (0.000, 0.000, 0.000)
Ta (0.500, 0.500, 0.500)
Hg (0.000, 0.500, 0.500)
Hg (0.500, 0.000, 0.500)
Hg (0.500, 0.500, 0.000)

---

The most stable arrangement is 2, and the next structure is 124.2 kJ/mol of atoms less stable.

---

1:
A relaxed Ba2TcHg crystal, computed with PBE.

a b c (Å): 11.367 11.367 5.427
angles (deg): 90.00 90.00 90.00
Element x y z (fractional)
Ba (0.037, 0.250, 0.125)
Ba (0.250, 0.537, 0.375)
Ba (0.250, 0.963, 0.875)
Ba (0.463, 0.250, 0.625)
Ba (0.537, 0.750, 0.625)
Ba (0.750, 0.037, 0.875)
Ba (0.750, 0.463, 0.375)
Ba (0.963, 0.750, 0.125)
Tc (0.000, 0.000, 0.000)
Tc (0.000, 0.500, 0.250)
Tc (0.500, 0.000, 0.750)
Tc (0.500, 0.500, 0.500)
Hg (0.000, 0.000, 0.500)
Hg (0.000, 0.500, 0.750)
Hg (0.500, 0.000, 0.250)
Hg (0.500, 0.500, 0.000)

---

2:
A relaxed Ba2TcHg crystal, computed with PBE.

a b c (Å): 4.212 5.389 11.640
angles (deg): 90.00 90.00 90.00
Element x y z (fractional)
Ba (0.000, 0.000, 0.000)
Ba (0.000, 0.500, 0.209)
Ba (0.500, 0.000, 0.709)
Ba (0.500, 0.500, 0.500)
Tc (0.000, 0.000, 0.435)
Tc (0.500, 0.500, 0.935)
Hg (0.000, 0.500, 0.781)
Hg (0.500, 0.000, 0.281)

---

3:
A relaxed Ba2TcHg crystal, computed with PBE.

a b c (Å): 8.100 8.100 8.100
angles (deg): 90.00 90.00 90.00
Element x y z (fractional)
Ba (0.250, 0.250, 0.250)
Ba (0.250, 0.250, 0.750)
Ba (0.250, 0.750, 0.250)
Ba (0.250, 0.750, 0.750)
Ba (0.750, 0.250, 0.250)
Ba (0.750, 0.250, 0.750)
Ba (0.750, 0.750, 0.250)
Ba (0.750, 0.750, 0.750)
Tc (0.000, 0.000, 0.000)
Tc (0.000, 0.500, 0.500)
Tc (0.500, 0.000, 0.500)
Tc (0.500, 0.500, 0.000)
Hg (0.000, 0.000, 0.500)
Hg (0.000, 0.500, 0.000)
Hg (0.500, 0.000, 0.000)
Hg (0.500, 0.500, 0.500)

---

The most stable arrangement is 2, and the next structure is 2.8 kJ/mol of atoms less stable.

---

1:
A relaxed Ba2TcHg crystal, computed with PBE.

a b c (Å): 3.809 3.822 8.878
angles (deg): 90.00 90.00 90.00
Element x y z (fractional)
Ba (0.000, 0.000, 0.224)
Ba (0.000, 0.000, 0.776)
Tc (0.500, 0.500, 0.000)
Hg (0.500, 0.500, 0.500)

---

2:
A relaxed Ba2TcHg crystal, computed with PBE.

a b c (Å): 8.270 8.280 3.829
angles (deg): 90.00 90.00 90.00
Element x y z (fractional)
Ba (0.250, 0.250, 0.000)
Ba (0.250, 0.750, 0.000)
Ba (0.750, 0.250, 0.000)
Ba (0.750, 0.750, 0.000)
Tc (0.000, 0.000, 0.500)
Tc (0.500, 0.500, 0.500)
Hg (0.000, 0.500, 0.500)
Hg (0.500, 0.000, 0.500)

---

3:
A relaxed Ba2TcHg crystal, computed with PBE.

a b c (Å): 7.789 7.789 7.789
angles (deg): 90.00 90.00 90.00
Element x y z (fractional)
Ba (0.000, 0.000, 0.000)
Ba (0.000, 0.500, 0.500)
Ba (0.250, 0.250, 0.250)
Ba (0.250, 0.750, 0.750)
Ba (0.500, 0.000, 0.500)
Ba (0.500, 0.500, 0.000)
Ba (0.750, 0.250, 0.750)
Ba (0.750, 0.750, 0.250)
Tc (0.000, 0.000, 0.500)
Tc (0.000, 0.500, 0.000)
Tc (0.500, 0.000, 0.000)
Tc (0.500, 0.500, 0.500)
Hg (0.250, 0.250, 0.750)
Hg (0.250, 0.750, 0.250)
Hg (0.750, 0.250, 0.250)
Hg (0.750, 0.750, 0.750)

---

The most stable arrangement is 1, and the next structure is 2.4 kJ/mol of atoms less stable.

---

1:
A relaxed Ba2HgTe crystal, computed with PBE.

a b c (Å): 4.868 4.868 26.061
angles (deg): 90.00 90.00 120.00
Element x y z (fractional)
Ba (0.000, 0.000, 0.246)
Ba (0.000, 0.000, 0.754)
Ba (0.333, 0.667, 0.420)
Ba (0.333, 0.667, 0.913)
Ba (0.667, 0.333, 0.087)
Ba (0.667, 0.333, 0.580)
Hg (0.000, 0.000, 0.000)
Hg (0.333, 0.667, 0.667)
Hg (0.667, 0.333, 0.333)
Te (0.000, 0.000, 0.500)
Te (0.333, 0.667, 0.167)
Te (0.667, 0.333, 0.833)

---

2:
A relaxed Ba2HgTe crystal, computed with PBE.

a b c (Å): 4.959 4.959 12.978
angles (deg): 90.00 90.00 90.00
Element x y z (fractional)
Ba (0.000, 0.000, 0.000)
Ba (0.000, 0.500, 0.250)
Ba (0.500, 0.000, 0.750)
Ba (0.500, 0.500, 0.500)
Hg (0.000, 0.500, 0.750)
Hg (0.500, 0.000, 0.250)
Te (0.000, 0.000, 0.500)
Te (0.500, 0.500, 0.000)

---

The most stable arrangement is 1, and the next structure is 11.8 kJ/mol of atoms less stable.

---

1:
A relaxed Ba2HgTe crystal, computed with PBE.

a b c (Å): 4.319 4.319 8.216
angles (deg): 90.00 90.00 90.00
Element x y z (fractional)
Ba (0.000, 0.000, 0.246)
Ba (0.000, 0.000, 0.754)
Hg (0.500, 0.500, 0.500)
Te (0.500, 0.500, 0.000)

---

2:
A relaxed Ba2HgTe crystal, computed with PBE.

a b c (Å): 8.467 8.467 8.467
angles (deg): 90.00 90.00 90.00
Element x y z (fractional)
Ba (0.250, 0.250, 0.250)
Ba (0.250, 0.250, 0.750)
Ba (0.250, 0.750, 0.250)
Ba (0.250, 0.750, 0.750)
Ba (0.750, 0.250, 0.250)
Ba (0.750, 0.250, 0.750)
Ba (0.750, 0.750, 0.250)
Ba (0.750, 0.750, 0.750)
Hg (0.000, 0.000, 0.000)
Hg (0.000, 0.500, 0.500)
Hg (0.500, 0.000, 0.500)
Hg (0.500, 0.500, 0.000)
Te (0.000, 0.000, 0.500)
Te (0.000, 0.500, 0.000)
Te (0.500, 0.000, 0.000)
Te (0.500, 0.500, 0.500)

---

3:
A relaxed Ba2HgTe crystal, computed with PBE.

a b c (Å): 4.828 4.828 26.266
angles (deg): 90.00 90.00 120.00
Element x y z (fractional)
Ba (0.000, 0.000, 0.000)
Ba (0.000, 0.000, 0.174)
Ba (0.333, 0.667, 0.667)
Ba (0.333, 0.667, 0.840)
Ba (0.667, 0.333, 0.333)
Ba (0.667, 0.333, 0.507)
Hg (0.000, 0.000, 0.755)
Hg (0.333, 0.667, 0.422)
Hg (0.667, 0.333, 0.089)
Te (0.000, 0.000, 0.588)
Te (0.333, 0.667, 0.254)
Te (0.667, 0.333, 0.921)

---

4:
A relaxed Ba2HgTe crystal, computed with PBE.

a b c (Å): 13.128 4.628 5.391
angles (deg): 90.00 90.89 90.00
Element x y z (fractional)
Ba (0.000, 0.000, 0.000)
Ba (0.247, 0.500, 0.499)
Ba (0.500, 0.500, 0.000)
Ba (0.747, 0.000, 0.499)
Hg (0.264, 0.000, 0.001)
Hg (0.764, 0.500, 0.001)
Te (0.473, 0.000, 0.498)
Te (0.973, 0.500, 0.498)

---

The most stable arrangement is 1, and the next structure is 2.2 kJ/mol of atoms less stable.